## CaTeMo (PBE)

Data for an optimized crystal structure of CaTeMo.

Properties
The excess energy over the best structure of this formula in the dataset is 0.0 meV/atom.

a = 4.2165 Å, b = 4.2165 Å, c = 7.8714 Å
α = 90.00°, β = 90.00°, γ = 90.00°
Fractional positions:
Ca 0.0000 0.5000 0.8428
Ca 0.5000 0.0000 0.1572
Te 0.0000 0.5000 0.2661
Te 0.5000 0.0000 0.7339
Mo 0.5000 0.5000 0.5000
Mo 0.0000 0.0000 0.5000

## Ca2TeMo (PBE)

Data for an optimized crystal structure of Ca2TeMo.

a = 3.9192 Å, b = 4.7560 Å, c = 6.5051 Å
α = 68.52°, β = 90.00°, γ = 90.00°
Fractional positions:
Mo 0.0000 0.7056 0.4632
Te 0.5000 0.5495 0.7767
Ca 0.0000 0.9739 0.9277
Ca 0.5000 0.2711 0.3324

## CaTe3Mo (PBE)

Data for an optimized crystal structure of CaTe3Mo.

Properties
The excess energy over the best structure of this formula in the dataset is 0.0 meV/atom.

a = 5.4119 Å, b = 5.4119 Å, c = 5.4119 Å
α = 90.00°, β = 90.00°, γ = 90.00°
Fractional positions:
Mo 0.0000 0.0000 0.0000
Te 0.0000 0.5000 0.0000
Te 0.0000 0.0000 0.5000
Te 0.5000 0.0000 0.0000
Ca 0.5000 0.5000 0.5000

## CaTeMo (PBE)

Data for an optimized crystal structure of CaTeMo.

Properties
The excess energy over the best structure of this formula in the dataset is 643.6 meV/atom.

a = 4.8815 Å, b = 4.8815 Å, c = 4.8815 Å
α = 60.00°, β = 60.00°, γ = 60.00°
Fractional positions:
Mo 0.7500 0.7500 0.7500
Te 0.0000 0.0000 0.0000
Ca 0.5000 0.5000 0.5000

## CaTe4Mo (PBE)

Data for an optimized crystal structure of CaTe4Mo.

a = 6.4066 Å, b = 6.4066 Å, c = 6.4066 Å
α = 60.00°, β = 60.00°, γ = 60.00°
Fractional positions:
Ca 0.7500 0.7500 0.7500
Te 0.8763 0.3746 0.3746
Te 0.3746 0.3746 0.8763
Te 0.3746 0.8763 0.3746
Te 0.3746 0.3746 0.3746
Mo 0.0000 0.0000 0.0000

## CaTeMo (PBE)

Data for an optimized crystal structure of CaTeMo.

Properties
The excess energy over the best structure of this formula in the dataset is 354.3 meV/atom.

a = 3.5574 Å, b = 3.5574 Å, c = 6.8252 Å
α = 90.00°, β = 90.00°, γ = 120.00°
Fractional positions:
Mo 0.3333 0.6667 0.3663
Te 0.6667 0.3333 0.6209
Ca 0.0000 0.0000 0.0128

## CaTeMo3 (PBE)

Data for an optimized crystal structure of CaTeMo3.

Properties
The excess energy over the best structure of this formula in the dataset is 1107.1 meV/atom.

a = 4.7484 Å, b = 4.7484 Å, c = 4.7484 Å
α = 90.00°, β = 90.00°, γ = 90.00°
Fractional positions:
Mo 0.0000 0.5000 0.0000
Mo 0.0000 0.0000 0.5000
Mo 0.5000 0.0000 0.0000
Te 0.5000 0.5000 0.5000
Ca 0.0000 0.0000 0.0000

## Ca2TeMo (PBE)

Data for an optimized crystal structure of Ca2TeMo.

a = 9.7068 Å, b = 9.7068 Å, c = 9.7068 Å
α = 21.42°, β = 21.42°, γ = 21.42°
Fractional positions:
Mo 0.2500 0.2500 0.2500
Te 0.7500 0.7500 0.7500
Ca 0.9992 0.9992 0.9992
Ca 0.5008 0.5008 0.5008

## CaTeMo3 (PBE)

Data for an optimized crystal structure of CaTeMo3.

Properties
The excess energy over the best structure of this formula in the dataset is 0.0 meV/atom.

a = 4.9744 Å, b = 4.9744 Å, c = 4.9744 Å
α = 90.00°, β = 90.00°, γ = 90.00°
Fractional positions:
Mo 0.0000 0.5000 0.0000
Mo 0.0000 0.0000 0.5000
Mo 0.5000 0.0000 0.0000
Te 0.0000 0.0000 0.0000
Ca 0.5000 0.5000 0.5000

## Ca2TeMo (PBE)

Data for an optimized crystal structure of Ca2TeMo.

a = 3.3317 Å, b = 3.3317 Å, c = 9.2464 Å
α = 90.00°, β = 90.00°, γ = 94.27°
Fractional positions:
Mo 0.5000 0.5000 0.2500
Te 0.5000 0.5000 0.7500
Ca 0.0000 0.0000 0.0094
Ca 0.0000 0.0000 0.4906

## CaTeMo (PBE)

Data for an optimized crystal structure of CaTeMo.

Properties
The excess energy over the best structure of this formula in the dataset is 310.8 meV/atom.

a = 4.6289 Å, b = 4.6289 Å, c = 3.9717 Å
α = 90.00°, β = 90.00°, γ = 120.00°
Fractional positions:
Mo 0.6667 0.3333 0.5000
Te 0.3333 0.6667 0.4999
Ca 0.0000 0.0000 0.0000

## CaTeMo (PBE)

Data for an optimized crystal structure of CaTeMo.

Properties
The excess energy over the best structure of this formula in the dataset is 1027.8 meV/atom.

a = 5.1708 Å, b = 5.1708 Å, c = 5.1708 Å
α = 60.00°, β = 60.00°, γ = 60.00°
Fractional positions:
Mo 0.0000 0.0000 0.0000
Te 0.5000 0.5000 0.5000
Ca 0.7500 0.7500 0.7500

## Ca2TeMo (PBE)

Data for an optimized crystal structure of Ca2TeMo.

a = 8.3722 Å, b = 8.3722 Å, c = 6.7952 Å
α = 51.97°, β = 51.97°, γ = 90.00°
Fractional positions:
Mo 0.5000 0.5000 0.0000
Mo 0.2500 0.7500 0.5000
Te 0.0000 0.0000 0.0000
Te 0.7500 0.2500 0.5000
Ca 0.6225 0.1250 0.2500
Ca 0.1275 0.6250 0.2500
Ca 0.3750 0.3775 0.7500
Ca 0.8750 0.8725 0.7500

## Ca2TeMo (PBE)

Data for an optimized crystal structure of Ca2TeMo.

a = 5.0986 Å, b = 5.0986 Å, c = 5.0986 Å
α = 60.00°, β = 60.00°, γ = 60.00°
Fractional positions:
Mo 0.5000 0.5000 0.5000
Te 0.7500 0.7500 0.7500
Ca 0.0000 0.0000 0.0000
Ca 0.2500 0.2500 0.2500

## Ca2TeMo (PBE)

Data for an optimized crystal structure of Ca2TeMo.

a = 4.2694 Å, b = 4.2731 Å, c = 6.5266 Å
α = 90.00°, β = 90.00°, γ = 90.00°
Fractional positions:
Mo 0.0000 0.0000 0.4630
Te 0.5000 0.5000 0.7811
Ca 0.0000 0.0000 0.9610
Ca 0.5000 0.5000 0.2948

| no. | ΔE_f (raw) (eV per atom) |
| --- | --- |
| 1 | -0.20 |
| 2 | -0.01 |
| 3 | -0.09 |
| 4 | 0.44 |
| 5 | 0.59 |
| 6 | 0.15 |
| 7 | 2.54 |
| 8 | 0.25 |
| 9 | 1.43 |
| 10 | 0.16 |
| 11 | 0.11 |
| 12 | 0.83 |
| 13 | 0.39 |
| 14 | 0.26 |
| 15 | 0.22 |